Record 1
## Ba2UWN5 (PBE)

Data for a geometry-optimized Ba2UWN5 structure.

Calculated values
**Crystal system**: orthorhombic
**Density**: 8.1 Mg/m³
**Space group**: Cmc2_1, No. 36
**Calculated volume**: 315.20 Å³ per cell
**Total magnetization**: 0.978 μB/f.u.
**Uncorrected formation energy**: -91 kJ per mole of atoms

Cell: 7.7411 7.7411 11.8983 Å, 90.00 90.00 153.76°
With the nearest neighbours (Å) after each atom.
Element x y z (fractional)
Ba 0.1122 0.8878 0.5000  5 N 2.76-2.98
Ba 0.1395 0.8605 0.0765  5 N 2.71-2.90
Ba 0.8605 0.1395 0.5765  5 N 2.71-2.90
Ba 0.8878 0.1122 0.0000  5 N 2.76-2.98
U 0.2140 0.7860 0.7980  4 N 2.20
U 0.7860 0.2140 0.2980  4 N 2.20
W 0.4970 0.5030 0.2597  4 N 1.82-1.99
W 0.5030 0.4970 0.7597  4 N 1.82-1.99
N 0.0495 0.9505 0.8126  2 W 1.99
N 0.2820 0.7180 0.4095  2 U 2.20
N 0.2966 0.7034 0.1875  2 U 2.20
N 0.3836 0.6164 0.7975  1 W 1.86
N 0.4986 0.5014 0.6068  1 W 1.82
N 0.5014 0.4986 0.1068  1 W 1.82
N 0.6164 0.3836 0.2975  1 W 1.86
N 0.7034 0.2966 0.6875  2 U 2.20
N 0.7180 0.2820 0.9095  2 U 2.20
N 0.9505 0.0495 0.3126  2 W 1.99

Record 2
## Ba2UWN6 (PBE)

Data for a geometry-optimized Ba2UWN6 structure.

Calculated values
**Crystal system**: cubic
**Density**: 8.5 Mg/m³
**Space group**: Fm-3m, No. 225
**Calculated volume**: 152.19 Å³ per cell
**Total magnetization**: 0.000 μB/f.u.
**Uncorrected formation energy**: -69 kJ per mole of atoms

Cell: 5.9928 5.9928 5.9928 Å, 60.00 60.00 60.00°
With the nearest neighbours (Å) after each atom.
Element x y z (fractional)
Ba 0.2500 0.2500 0.2500  12 N 3.00
Ba 0.7500 0.7500 0.7500  12 N 3.00
U 0.0000 0.0000 0.0000  6 N 2.19
W 0.5000 0.5000 0.5000  6 N 2.05
N 0.2585 0.2585 0.7415  1 W 2.05, 1 U 2.19
N 0.2585 0.7415 0.2585  1 W 2.05, 1 U 2.19
N 0.2585 0.7415 0.7415  1 W 2.05, 1 U 2.19
N 0.7415 0.2585 0.2585  1 W 2.05, 1 U 2.19
N 0.7415 0.2585 0.7415  1 W 2.05, 1 U 2.19
N 0.7415 0.7415 0.2585  1 W 2.05, 1 U 2.19

Record 3
## Ba3Y2UN6 (PBE)

Data for a geometry-optimized Ba3Y2UN6 structure.

Calculated values
**Crystal system**: monoclinic
**Density**: 7.0 Mg/m³
**Space group**: C2/m, No. 12
**Calculated volume**: 216.47 Å³ per cell
**Total magnetization**: 0.000 μB/f.u.
**Uncorrected formation energy**: -106 kJ per mole of atoms

Cell: 6.2470 6.2470 6.7128 Å, 98.85 98.85 119.76°
With the nearest neighbours (Å) after each atom.
Element x y z (fractional)
Ba 0.0000 0.0000 0.0000  6 N 2.84-2.94
Ba 0.3285 0.6715 0.0000  6 N 2.82-3.01
Ba 0.6715 0.3285 0.0000  6 N 2.82-3.01
Y 0.1659 0.8341 0.5000  6 N 2.48-2.51
Y 0.8341 0.1659 0.5000  6 N 2.48-2.51
U 0.5000 0.5000 0.5000  6 N 2.23-2.32
N 0.1358 0.4381 0.3151  1 U 2.23, 2 Y 2.48-2.49
N 0.2569 0.2569 0.6997  1 U 2.32, 2 Y 2.51
N 0.4381 0.1358 0.3151  1 U 2.23, 2 Y 2.48-2.49
N 0.5619 0.8642 0.6849  1 U 2.23, 2 Y 2.48-2.49
N 0.7431 0.7431 0.3003  1 U 2.32, 2 Y 2.51
N 0.8642 0.5619 0.6849  1 U 2.23, 2 Y 2.48-2.49

Record 4
## BaVN3 (PBE)

Data for a geometry-optimized BaVN3 structure.

Calculated values
**Crystal system**: cubic
**Density**: 4.1 Mg/m³
**Space group**: Pm-3m, No. 221
**Calculated volume**: 93.55 Å³ per cell
**Total magnetization**: 0.999 μB/f.u.
**Uncorrected formation energy**: 236 kJ per mole of atoms

Cell: 4.5395 4.5395 4.5395 Å, 90.00 90.00 90.00°
With the nearest neighbours (Å) after each atom.
Element x y z (fractional)
Ba 0.0000 0.0000 0.0000  6 N 2.27
V 0.5000 0.5000 0.5000  12 N 3.21
N 0.0000 0.0000 0.5000  2 Ba 2.27
N 0.0000 0.5000 0.0000  2 Ba 2.27
N 0.5000 0.0000 0.0000  2 Ba 2.27

Record 5
## Ba4VN4 (PBE)

Data for a geometry-optimized Ba4VN4 structure.

Calculated values
**Crystal system**: triclinic
**Density**: 5.1 Mg/m³
**Space group**: P-1, No. 2
**Calculated volume**: 425.19 Å³ per cell
**Total magnetization**: 0.000 μB/f.u.
**Uncorrected formation energy**: -77 kJ per mole of atoms

Cell: 6.7717 7.2861 9.9641 Å, 69.11 75.40 69.31°
With the nearest neighbours (Å) after each atom.
Element x y z (fractional)
Ba 0.0872 0.2449 0.4445  3 N 2.64-2.84
Ba 0.1734 0.1798 0.0271  6 N 2.82-3.00
Ba 0.3892 0.6975 0.8545  4 N 2.74-3.05
Ba 0.4104 0.2950 0.6564  4 N 2.76-2.98
Ba 0.5896 0.7050 0.3436  4 N 2.76-2.98
Ba 0.6108 0.3025 0.1455  4 N 2.74-3.05
Ba 0.8266 0.8202 0.9729  6 N 2.82-3.00
Ba 0.9128 0.7551 0.5555  3 N 2.64-2.84
V 0.1774 0.6843 0.2182  4 N 1.83-1.86
V 0.8226 0.3157 0.7818  4 N 1.83-1.86
N 0.0620 0.0966 0.7855  1 V 1.83
N 0.1415 0.4936 0.1523  1 V 1.84
N 0.2452 0.5532 0.4055  1 V 1.86
N 0.4133 0.7616 0.1040  1 V 1.85
N 0.5867 0.2384 0.8960  1 V 1.85
N 0.7548 0.4468 0.5945  1 V 1.86
N 0.8585 0.5064 0.8477  1 V 1.84
N 0.9380 0.9034 0.2145  1 V 1.83

Record 6
## BaV2N (PBE)

Data for a geometry-optimized BaV2N structure.

Calculated values
**Crystal system**: cubic
**Density**: 5.0 Mg/m³
**Space group**: Fd-3m, No. 227
**Calculated volume**: 169.58 Å³ per cell
**Total magnetization**: 2.190 μB/f.u.
**Uncorrected formation energy**: -1 kJ per mole of atoms

Cell: 6.2129 6.2129 6.2129 Å, 60.00 60.00 60.00°
With the nearest neighbours (Å) after each atom.
Element x y z (fractional)
Ba 0.1250 0.1250 0.1250  12 V 3.64, 4 Ba 3.80, 4 N 3.80
Ba 0.8750 0.8750 0.8750  12 V 3.64, 4 Ba 3.80, 4 N 3.80
V 0.0000 0.5000 0.5000  2 N 1.90
V 0.5000 0.0000 0.5000  2 N 1.90
V 0.5000 0.5000 0.0000  2 N 1.90
V 0.5000 0.5000 0.5000  2 N 1.90
N 0.3750 0.3750 0.3750  4 V 1.90
N 0.6250 0.6250 0.6250  4 V 1.90

Record 7
## BaVN3 (PBE)

Data for a geometry-optimized BaVN3 structure.

Calculated values
**Crystal system**: cubic
**Density**: 5.8 Mg/m³
**Space group**: Pm-3m, No. 221
**Calculated volume**: 65.80 Å³ per cell
**Total magnetization**: 1.969 μB/f.u.
**Uncorrected formation energy**: -21 kJ per mole of atoms

Cell: 4.0371 4.0371 4.0371 Å, 90.00 90.00 90.00°
With the nearest neighbours (Å) after each atom.
Element x y z (fractional)
Ba 0.0000 0.0000 0.0000  12 N 2.85
V 0.5000 0.5000 0.5000  6 N 2.02
N 0.0000 0.5000 0.5000  2 V 2.02
N 0.5000 0.0000 0.5000  2 V 2.02
N 0.5000 0.5000 0.0000  2 V 2.02

Record 8
## BaV2N2 (PBE)

Data for a geometry-optimized BaV2N2 structure.

Calculated values
**Crystal system**: tetragonal
**Density**: 4.9 Mg/m³
**Space group**: I4/mmm, No. 139
**Calculated volume**: 182.58 Å³ per cell
**Total magnetization**: 0.001 μB/f.u.
**Uncorrected formation energy**: -54 kJ per mole of atoms

Cell: 3.9091 3.9091 11.9483 Å, 90.00 90.00 90.00°
With the nearest neighbours (Å) after each atom.
Element x y z (fractional)
Ba 0.0000 0.0000 0.0000  2 V 3.15
Ba 0.5000 0.5000 0.5000  2 V 3.15
V 0.0000 0.0000 0.2633  4 N 1.96
V 0.0000 0.0000 0.7367  4 N 1.96
V 0.5000 0.5000 0.2367  4 N 1.96
V 0.5000 0.5000 0.7633  4 N 1.96
N 0.0000 0.5000 0.2500  4 V 1.96
N 0.0000 0.5000 0.7500  4 V 1.96
N 0.5000 0.0000 0.2500  4 V 1.96
N 0.5000 0.0000 0.7500  4 V 1.96

Among the records above, which one has the lowest density?
number 4

The highest total magnetization belongs to which entry?
BaV2N